# 1
Crystalline TiSbHI2 at its relaxed geometry, computed with PBE-GGA.

VASP energy, eV/atom: -3.336
Space group: P4/mmm

Cell: 5.572 5.572 5.377 Å, 90.00 90.00 90.00°
Last column: magnetic moment on the atom in μB.
Fractional positions:
I 0.000 0.500 0.000  -0.04
I 0.500 0.000 0.000  -0.04
Sb 0.000 0.000 0.500  -0.27
H 0.500 0.500 0.500  0.37
Ti 0.000 0.000 0.000  0.37

---

# 2
Crystalline TeOs2Br at its relaxed geometry, computed with PBE-GGA.

Uncorrected formation energy, meV per atom: 1148.0
Space group: I-42d

Cell: 4.560 4.560 8.478 Å, 74.40 74.40 90.00°
Fractional positions:
Te 0.000 0.000 0.000
Te 0.750 0.250 0.500
Os 0.570 0.125 0.250
Os 0.180 0.625 0.250
Os 0.375 0.430 0.750
Os 0.875 0.820 0.750
Br 0.500 0.500 0.000
Br 0.250 0.750 0.500

---

# 3
Crystalline La5Pm8Sm at its relaxed geometry, computed with PBE-GGA.

Space group: I-4
Formation energy from the elements, eV/atom: 0.216

Cell: 8.666 8.666 8.666 Å, 111.14 106.17 111.14°
Fractional positions:
La 0.032 0.322 0.140
La 0.860 0.893 0.182
La 0.818 0.678 0.711
La 0.500 0.000 0.500
La 0.289 0.107 0.968
Pm 0.180 0.741 0.076
Pm 0.924 0.104 0.665
Pm 0.723 0.252 0.324
Pm 0.676 0.399 0.928
Pm 0.530 0.601 0.277
Pm 0.561 0.896 0.820
Pm 0.335 0.259 0.439
Pm 0.072 0.748 0.470
Sm 0.250 0.500 0.750

---

# 4
Crystalline SrAgAsRu2 at its relaxed geometry, computed with PBE-GGA.

Space group: P4/mmm
Formation energy from the elements, eV/atom: 1.157

Cell: 5.085 4.839 5.085 Å, 90.00 90.00 90.00°
Last column: magnetic moment on the atom in μB.
Fractional positions:
Ru 0.000 0.000 0.500  2.12
Ru 0.500 0.000 0.000  1.72
As 0.000 0.500 0.000  0.04
Ag 0.000 0.000 0.000  0.07
Sr 0.500 0.500 0.500  -0.03

---

# 5
Crystalline EuCdPtPb at its relaxed geometry, computed with PBE-GGA.

Space group: F-43m
Formation energy from the elements, eV/atom: -0.394

Cell: 5.145 5.145 5.145 Å, 60.00 60.00 60.00°
Last column: magnetic moment on the atom in μB.
Fractional positions:
Pb 0.750 0.750 0.750  0.01
Eu 0.250 0.250 0.250  6.78
Pt 0.500 0.500 0.500  -0.01
Cd 0.000 0.000 0.000  0.01

---

# 6
Crystalline Cs4PmPa3S12 at its relaxed geometry, computed with PBE-GGA.

Uncorrected formation energy, meV per atom: -1490.6
Space group: Im-3m

Cell: 9.293 9.293 9.293 Å, 109.47 109.47 109.47°
Fractional positions:
Cs 0.500 0.500 0.500
Cs 0.000 0.000 0.500
Cs 0.500 0.000 0.000
Cs 0.000 0.500 0.000
Pm 0.000 0.000 0.000
Pa 0.500 0.000 0.500
Pa 0.500 0.500 0.000
Pa 0.000 0.500 0.500
S 0.250 0.500 0.750
S 0.740 0.000 0.740
S 0.260 0.000 0.260
S 0.750 0.500 0.250
S 0.740 0.740 0.000
S 0.260 0.260 0.000
S 0.750 0.250 0.500
S 0.250 0.750 0.500
S 0.500 0.250 0.750
S 0.000 0.740 0.740
S 0.500 0.750 0.250
S 0.000 0.260 0.260

---

# 7
Crystalline Pr3Pa2Ru4 at its relaxed geometry, computed with PBE-GGA.

Space group: C2/m
Formation energy from the elements, eV/atom: -0.435

Cell: 4.281 6.096 9.108 Å, 100.77 90.00 110.56°
Fractional positions:
Pr 0.377 0.754 0.615
Pr 0.000 0.000 0.000
Pr 0.623 0.246 0.385
Pa 0.323 0.646 0.218
Pa 0.677 0.354 0.782
Ru 0.720 0.439 0.094
Ru 0.090 0.180 0.644
Ru 0.910 0.820 0.356
Ru 0.280 0.561 0.906

---

# 8
Crystalline ZrHg2Br at its relaxed geometry, computed with PBE-GGA.

Uncorrected formation energy, meV per atom: 13.3
Space group: P4/mmm

Cell: 5.167 5.167 3.632 Å, 90.00 90.00 90.00°
Fractional positions:
Br 0.000 0.500 0.500
Hg 0.000 0.000 0.000
Hg 0.500 0.500 0.000
Zr 0.500 0.000 0.500

---

# 9
Crystalline TbPr2Th2 at its relaxed geometry, computed with PBE-GGA.

Space group: R-3m
Formation energy from the elements, eV/atom: 0.038

Cell: 3.626 3.626 14.945 Å, 83.03 83.03 60.00°
Fractional positions:
Tb 0.000 0.000 0.000
Pr 0.797 0.797 0.610
Pr 0.203 0.203 0.390
Th 0.398 0.398 0.805
Th 0.602 0.602 0.195

---

# 10
Crystalline TlVGa2Cl8 at its relaxed geometry, computed with PBE-GGA.

Uncorrected formation energy, meV per atom: -966.5
Space group: R-3

Cell: 6.416 6.416 9.920 Å, 71.13 71.13 60.00°
Last column: magnetic moment on the atom in μB.
Fractional positions:
Tl 0.500 0.500 0.500  0.00
V 0.000 0.000 0.000  2.30
Ga 0.262 0.262 0.213  -0.11
Ga 0.738 0.738 0.787  -0.11
Cl 0.180 0.180 0.459  -0.03
Cl 0.648 0.268 0.155  -0.04
Cl 0.820 0.820 0.541  -0.03
Cl 0.929 0.648 0.155  -0.04
Cl 0.071 0.352 0.845  -0.04
Cl 0.268 0.929 0.155  -0.04
Cl 0.732 0.071 0.845  -0.04
Cl 0.352 0.732 0.845  -0.04

---

# 11
Crystalline CeSm4Bi5 at its relaxed geometry, computed with PBE-GGA.

Space group: I4/mmm
Formation energy from the elements, eV/atom: -0.900

Cell: 4.570 4.570 16.446 Å, 97.99 97.99 90.00°
Last column: magnetic moment on the atom in μB.
Fractional positions:
Ce 0.000 0.000 0.000  0.80
Sm 0.399 0.399 0.798  0.00
Sm 0.800 0.800 0.600  0.00
Sm 0.200 0.200 0.400  0.00
Sm 0.601 0.601 0.202  0.00
Bi 0.100 0.100 0.200  -0.01
Bi 0.500 0.500 0.000  -0.03
Bi 0.900 0.900 0.800  -0.01
Bi 0.300 0.300 0.600  0.00
Bi 0.700 0.700 0.400  0.00

---

# 12
Crystalline LiLaSi2 at its relaxed geometry, computed with PBE-GGA.

Uncorrected formation energy, meV per atom: -200.4
Space group: I4/mmm

Cell: 5.243 5.243 5.243 Å, 129.33 129.33 74.48°
Fractional positions:
La 0.250 0.750 0.500
Li 0.750 0.250 0.500
Si 0.000 0.000 0.000
Si 0.500 0.500 0.000